No. 1
This record from OQMD describes a geometry-optimized BaErAgO3 structure. The functional is GGA-PBE.

The crystal system is orthorhombic.

The structure belongs to space group Cmcm (No. 63); the cell edges are 3.620, 13.096 and 8.845 Å and the angles 90.00°, 90.00° and 90.00°. Symmetry generates all atoms from Ba at (0.000, 0.188, 0.250), Er at (0.000, 0.500, 0.000), Ag at (0.000, 0.103, 0.750), O at (0.000, 0.110, 0.516) and O at (0.000, 0.451, 0.750).

***

No. 2
This record from OQMD describes a geometry-optimized BaErAg2Sb2 structure. The functional is GGA-PBE.

The crystal system is trigonal.

The structure belongs to space group P3m1 (No. 156); the cell edges are 4.8404, 4.8404 and 8.1865 Å and the angles 90.00°, 90.00° and 120.00°. Symmetry generates all atoms from Ba at (0.0000, 0.0000, 0.0000), Er at (0.0000, 0.0000, 0.4998), Ag at (0.3333, 0.6667, 0.6814), Ag at (0.6667, 0.3333, 0.3293), Sb at (0.3333, 0.6667, 0.2748) and Sb at (0.6667, 0.3333, 0.7225).

***

No. 3
This record from OQMD describes a geometry-optimized BaErAgTe2Se structure. The functional is GGA-PBE.

The crystal system is orthorhombic.

The structure belongs to space group Cmcm (No. 63); the cell edges are 4.371, 15.105 and 10.922 Å and the angles 90.00°, 90.00° and 90.00°. Symmetry generates all atoms from Ba at (0.000, 0.239, 0.250), Er at (0.000, 0.500, 0.000), Ag at (0.000, 0.029, 0.750), Te at (0.000, 0.141, 0.548) and Se at (0.000, 0.427, 0.750).

***

no.,total energy (eV per atom)
1,-6.30
2,-4.07
3,-4.52